Computed, not measured: a relaxed Mn3HO6 crystal at the PBE with a Hubbard U level of DFT.

Structure (POSCAR):
```
Mn3HO6
1.0
4.817 0.000 0.000
0.000 6.423 -0.046
0.000 -1.478 6.251
O Mn H
12 6 2
Direct
0.685 0.626 0.695
0.132 0.788 0.212
0.185 0.374 0.305
0.693 0.943 0.057
0.185 0.695 0.626
0.685 0.305 0.374
0.715 0.543 0.121
0.193 0.057 0.943
0.715 0.879 0.457
0.215 0.457 0.879
0.215 0.121 0.543
0.632 0.212 0.788
0.429 0.384 0.616
0.929 0.616 0.384
0.443 0.932 0.683
0.943 0.068 0.317
0.943 0.683 0.932
0.443 0.317 0.068
0.545 0.875 0.125
0.045 0.125 0.875
```

Space-group type: Cmc2_1 (36)
Energy, eV/atom: -6.763
Excess energy over the best structure of this formula in the dataset, meV per atom: 126